(1)
# TlPb3

A relaxed structure of TlPb3 (PBEsol, the Alexandria database).

Output
As for the formation energy from the elements: 0.0215 eV per atom. The calculation puts the total magnetization at 0.000 μB/f.u. The final energy is -14.54 eV/cell. For the density of states at the Fermi level, the calculation gives 0.621 states/eV/atom.

Cell and atoms, written as POSCAR:
```
TlPb3
1.0
3.4126 0.0000 0.0000
-1.7063 2.9554 0.0000
0.0000 0.0000 11.5849
Pb Tl
3 1
Cartesian
0.0000 0.0000 2.9042
0.0000 0.0000 8.6808
0.0000 1.9702 0.0000
0.0000 1.9702 5.7925
```

(2)
# Tl2Pb

A relaxed structure of Tl2Pb (PBEsol, the Alexandria database).

Output
As for the formation energy from the elements: -0.0029 eV per atom. The calculation puts the total magnetization at 0.000 μB/f.u. The final energy is -18.54 eV/cell. For the density of states at the Fermi level, the calculation gives 0.477 states/eV/atom. For the offset from the most stable computed form, the calculation gives 0.003 eV/atom.

Cell and atoms, written as POSCAR:
```
Tl2Pb
1.0
3.5035 0.0000 0.0000
-1.7518 7.2389 0.3653
0.0000 -2.0181 6.6783
Pb Tl
2 4
Cartesian
0.0000 0.3143 0.3956
1.7518 2.0057 2.7336
0.0000 3.7701 5.0873
0.0000 4.7799 1.7488
0.0000 -0.7412 3.7450
1.7518 1.0436 6.0647
```

(3)
# TlPb2

A relaxed structure of TlPb2 (PBEsol, the Alexandria database).

Output
As for the formation energy from the elements: 0.0880 eV per atom. The calculation puts the total magnetization at 0.000 μB/f.u. The final energy is -20.73 eV/cell. For the density of states at the Fermi level, the calculation gives 0.533 states/eV/atom. For the offset from the most stable computed form, the calculation gives 0.094 eV/atom.

Cell and atoms, written as POSCAR:
```
TlPb2
1.0
-0.7376 0.3319 -6.3763
4.9362 -1.3698 -3.8817
-0.0707 -5.3829 -3.5114
Pb Tl
4 2
Cartesian
0.5160 -0.8026 -1.7212
0.4807 -3.4941 -3.4769
2.9841 -1.4875 -3.6621
0.1472 -0.6367 -4.9093
2.0640 -3.2104 -6.8847
3.0960 -4.8157 -10.3271
```

(4)
# TlPb3

A relaxed structure of TlPb3 (PBEsol, the Alexandria database).

Output
As for the formation energy from the elements: 0.0315 eV per atom. The calculation puts the total magnetization at 0.000 μB/f.u. The final energy is -14.50 eV/cell. For the density of states at the Fermi level, the calculation gives 0.609 states/eV/atom.

Cell and atoms, written as POSCAR:
```
TlPb3
1.0
5.4940 0.0000 0.0000
2.7470 4.7579 0.0000
2.7470 1.5860 4.4858
Pb Tl
3 1
Cartesian
2.7470 1.5860 1.1215
5.4940 3.1720 2.2429
8.2410 4.7579 3.3644
0.0000 0.0000 0.0000
```

(5)
# TlPb3

A relaxed structure of TlPb3 (PBEsol, the Alexandria database).

Output
As for the formation energy from the elements: -0.0031 eV per atom. The calculation puts the total magnetization at 0.000 μB/f.u. The final energy is -14.64 eV/cell. For the density of states at the Fermi level, the calculation gives 0.486 states/eV/atom.

Cell and atoms, written as POSCAR:
```
TlPb3
1.0
3.4286 0.0000 0.0000
-1.7143 5.7802 0.0490
0.0000 -0.9995 5.9036
Pb Tl
3 1
Cartesian
1.7143 -0.4997 2.9518
0.0000 2.1261 4.4521
1.7143 2.6547 1.5005
0.0000 0.0000 0.0000
```

(6)
# TlPb3

A relaxed structure of TlPb3 (PBEsol, the Alexandria database).

Output
As for the formation energy from the elements: -0.0039 eV per atom. The calculation puts the total magnetization at 0.000 μB/f.u. The final energy is -14.64 eV/cell. For the density of states at the Fermi level, the calculation gives 0.454 states/eV/atom.

Cell and atoms, written as POSCAR:
```
TlPb3
1.0
3.4485 0.0000 -0.6005
0.0000 4.7851 0.0000
-2.2242 0.0000 7.4950
Pb Tl
3 1
Cartesian
0.9183 0.0000 5.1699
-1.1121 2.3925 3.7475
0.3059 0.0000 1.7246
1.7242 2.3925 -0.3002
```

(7)
# Tl4Pb

A relaxed structure of Tl4Pb (PBEsol, the Alexandria database).

Output
As for the formation energy from the elements: 0.0038 eV per atom. The calculation puts the total magnetization at 0.000 μB/f.u. The final energy is -14.50 eV/cell. For the density of states at the Fermi level, the calculation gives 0.443 states/eV/atom.

Cell and atoms, written as POSCAR:
```
Tl4Pb
1.0
-0.7977 -5.0657 -0.0761
3.8298 -3.2443 2.9974
-3.4076 -2.1235 4.2494
Pb Tl
1 4
Cartesian
0.0000 0.0000 0.0000
-1.7593 -4.9621 3.1073
-1.0626 -7.6986 5.1392
1.3839 -5.4714 4.0634
0.6871 -2.7350 2.0315
```

(8)
# TlPb2

A relaxed structure of TlPb2 (PBEsol, the Alexandria database).

Output
As for the formation energy from the elements: -0.0061 eV per atom. The calculation puts the total magnetization at 0.000 μB/f.u. The final energy is -10.65 eV/cell. For the density of states at the Fermi level, the calculation gives 0.566 states/eV/atom. For the offset from the most stable computed form, the calculation gives 0.000 eV/atom.

Cell and atoms, written as POSCAR:
```
TlPb2
1.0
3.3893 0.0000 0.0000
0.0000 3.3893 0.0000
-1.6947 -1.6947 7.6392
Pb Tl
2 1
Cartesian
1.6947 1.6947 2.5646
0.0000 0.0000 5.0746
0.0000 0.0000 0.0000
```

(9)
# Tl3Pb

A relaxed structure of Tl3Pb (PBEsol, the Alexandria database).

Output
As for the formation energy from the elements: 0.0156 eV per atom. The calculation puts the total magnetization at 0.000 μB/f.u. The final energy is -11.83 eV/cell. For the density of states at the Fermi level, the calculation gives 0.504 states/eV/atom. For the offset from the most stable computed form, the calculation gives 0.018 eV/atom.

Cell and atoms, written as POSCAR:
```
Tl3Pb
1.0
3.7173 0.0000 0.0000
0.0000 5.6051 0.0000
-1.8587 -2.8026 5.4767
Pb Tl
1 3
Cartesian
0.0000 0.0000 0.0000
1.8587 0.0000 2.7599
1.8587 2.8026 0.0000
0.0000 2.8026 2.7168
```

(10)
# TlPb2W

A relaxed structure of TlPb2W (PBEsol, the Alexandria database).

Output
As for the formation energy from the elements: 1.0241 eV per atom. The calculation puts the total magnetization at 0.003 μB/f.u. The final energy is -20.34 eV/cell. For the density of states at the Fermi level, the calculation gives 0.992 states/eV/atom. For the offset from the most stable computed form, the calculation gives 0.338 eV/atom.

Cell and atoms, written as POSCAR:
```
TlPb2W
1.0
-2.2960 -0.5163 2.6228
2.7025 -4.0370 1.5711
2.7745 3.0351 3.0264
Pb Tl W
2 1 1
Cartesian
1.3873 1.5176 1.5132
1.3512 -2.0185 0.7856
1.5905 -0.7591 3.6101
-1.1480 -0.2581 1.3114
```

(11)
# TlPb2W

A relaxed structure of TlPb2W (PBEsol, the Alexandria database).

Output
As for the formation energy from the elements: 0.6858 eV per atom. The calculation puts the total magnetization at 0.000 μB/f.u. The final energy is -21.69 eV/cell. For the density of states at the Fermi level, the calculation gives 0.383 states/eV/atom. For the offset from the most stable computed form, the calculation gives 0.000 eV/atom.

Cell and atoms, written as POSCAR:
```
TlPb2W
1.0
-0.4068 -2.0360 2.2293
4.7718 -0.3570 0.5447
-2.3321 6.3843 3.3237
Pb Tl W
2 1 1
Cartesian
2.0521 3.3232 5.4911
-0.2776 1.5554 3.4514
2.1632 -0.5294 1.9928
2.3104 2.4370 2.6473
```

(12)
# TlPbW2

A relaxed structure of TlPbW2 (PBEsol, the Alexandria database).

Output
As for the formation energy from the elements: 1.2522 eV per atom. The calculation puts the total magnetization at 0.001 μB/f.u. The final energy is -29.24 eV/cell. For the density of states at the Fermi level, the calculation gives 1.187 states/eV/atom. For the offset from the most stable computed form, the calculation gives 0.323 eV/atom.

Cell and atoms, written as POSCAR:
```
TlPbW2
1.0
-2.2309 0.3299 4.2471
2.4436 -0.7836 4.0667
0.9864 3.6623 2.9560
Pb Tl W
1 1 2
Cartesian
0.5996 1.6043 5.6349
0.2998 0.8021 2.8174
0.0000 0.0000 0.0000
0.8994 2.4064 8.4523
```

(13)
# TlPb2W

A relaxed structure of TlPb2W (PBEsol, the Alexandria database).

Output
As for the formation energy from the elements: 0.7686 eV per atom. The calculation puts the total magnetization at 0.000 μB/f.u. The final energy is -21.36 eV/cell. For the density of states at the Fermi level, the calculation gives 0.726 states/eV/atom. For the offset from the most stable computed form, the calculation gives 0.083 eV/atom.

Cell and atoms, written as POSCAR:
```
TlPb2W
1.0
-0.2208 -2.7775 -1.2193
1.9707 0.7981 -2.1747
8.0295 -3.3008 6.0651
Pb Tl W
2 1 1
Cartesian
7.6531 -3.1461 5.7808
2.9879 -1.8583 -0.1010
4.3205 -1.7761 3.2635
6.8621 -3.4510 2.8254
```

(14)
# TlPb2W

A relaxed structure of TlPb2W (PBEsol, the Alexandria database).

Output
As for the formation energy from the elements: 1.0098 eV per atom. The calculation puts the total magnetization at 0.065 μB/f.u. The final energy is -20.40 eV/cell. For the density of states at the Fermi level, the calculation gives 1.083 states/eV/atom. For the offset from the most stable computed form, the calculation gives 0.324 eV/atom.

Cell and atoms, written as POSCAR:
```
TlPb2W
1.0
-1.8066 0.6268 -2.4635
2.1292 -4.3029 -2.6563
-3.9329 -3.2208 2.0648
Pb Tl W
2 1 1
Cartesian
-1.9664 -1.6104 1.0324
1.0646 -2.1514 -1.3282
-1.8052 -3.4484 -1.5275
-0.9033 0.3134 -1.2317
```

(15)
# TlPbW2

A relaxed structure of TlPbW2 (PBEsol, the Alexandria database).

Output
As for the formation energy from the elements: 0.9292 eV per atom. The calculation puts the total magnetization at 0.000 μB/f.u. The final energy is -30.53 eV/cell. For the density of states at the Fermi level, the calculation gives 0.550 states/eV/atom. For the offset from the most stable computed form, the calculation gives 0.000 eV/atom.

Cell and atoms, written as POSCAR:
```
TlPbW2
1.0
-1.5227 -1.3958 2.5168
-2.1095 -3.4788 -3.2056
5.3412 -0.9349 0.6068
Pb Tl W
1 1 2
Cartesian
-1.7744 -2.6736 -0.4502
0.9502 -2.1287 1.5003
3.4646 -2.2665 2.9451
1.0711 -3.5089 -1.2980
```